First-principles (PBE) data for a geometry-optimized BaSn2Bi2 structure, as listed in the Alexandria database.

Unit cell a=6.632 b=6.948 c=9.438 alpha=108.25 beta=90.22 gamma=118.50
Atoms (fractional coordinates):
Ba  0.159  0.315  0.248
Ba  0.841  0.685  0.752
Sn  0.151  0.762  0.114
Sn  0.388  0.239  0.886
Sn  0.612  0.761  0.114
Sn  0.849  0.238  0.886
Bi  0.158  0.321  0.643
Bi  0.418  0.840  0.631
Bi  0.582  0.160  0.369
Bi  0.842  0.679  0.357

## Properties
Space group ... P-1, No. 2
Uncorrected energy ... -38.588 eV/cell
Total moment ... 0.000 μB per atom